1.
Ac4Pr8Sm3 (PBE-GGA, optimized geometry); density = 7.0 g/cm³; spin magnetization = 0.00 μB per cell; calculated formation energy = 0.3211 eV per atom; total energy = -4.2673 eV per atom; N(E_F) = 27.12 states/eV per cell
1.0
-2.872 -1.707 -6.459
3.752 -7.798 4.405
-6.764 0.206 6.965
Ac Pr Sm
4 8 3
Direct
0.500 0.000 0.000
0.000 0.500 0.000
0.000 0.000 0.000
0.000 0.000 0.500
0.535 0.274 0.274
0.000 0.643 0.357
0.012 0.279 0.279
0.500 0.736 0.264
0.500 0.264 0.736
0.988 0.721 0.721
0.000 0.357 0.643
0.465 0.726 0.726
0.500 0.500 0.000
0.500 0.000 0.500
0.500 0.500 0.500


2.
AcPr12Sm7 (PBE-GGA, optimized geometry); density = 6.1 g/cm³; spin magnetization = 0.00 μB per cell; calculated formation energy = 0.5830 eV per atom; total energy = -4.1418 eV per atom; N(E_F) = 26.62 states/eV per cell
1.0
9.606 0.000 -3.396
-4.803 8.319 -3.396
0.000 0.000 10.189
Ac Pr Sm
1 12 7
Direct
0.000 0.000 0.000
0.491 0.745 0.745
0.000 0.745 0.255
0.509 0.255 0.255
0.000 0.255 0.745
0.745 0.000 0.255
0.745 0.491 0.745
0.255 0.000 0.745
0.255 0.509 0.255
0.745 0.745 0.491
0.255 0.255 0.509
0.745 0.255 0.000
0.255 0.745 0.000
0.500 0.500 0.000
0.000 0.500 0.500
0.500 0.000 0.500
0.500 0.500 0.500
0.000 0.000 0.500
0.500 0.000 0.000
0.000 0.500 0.000


3.
AcPr4Sm3 (PBE-GGA, optimized geometry); density = 7.0 g/cm³; spin magnetization = 1.06 μB per cell; calculated formation energy = 0.3696 eV per atom; total energy = -4.3034 eV per atom; N(E_F) = 19.18 states/eV per cell
1.0
-2.020 -2.908 0.274
7.504 -5.081 1.409
-1.685 1.999 8.791
Ac Pr Sm
1 4 3
Direct
0.500 0.000 0.000
0.000 0.739 0.739
0.500 0.259 0.741
0.000 0.261 0.261
0.500 0.741 0.259
0.000 0.000 0.500
0.500 0.500 0.500
0.000 0.500 0.000


4.
Ac8Pr3Sm2 (PBE-GGA, optimized geometry); density = 7.5 g/cm³; spin magnetization = 0.00 μB per cell; calculated formation energy = 0.2081 eV per atom; total energy = -4.1492 eV per atom; N(E_F) = 18.85 states/eV per cell
1.0
-3.536 5.433 3.458
4.411 3.873 8.515
4.536 9.294 0.126
Ac Pr Sm
8 3 2
Direct
0.002 0.603 0.603
0.998 0.397 0.397
0.014 0.188 0.188
0.986 0.812 0.812
0.542 0.564 0.196
0.542 0.196 0.564
0.458 0.804 0.436
0.458 0.436 0.804
0.500 0.000 0.000
0.000 0.165 0.835
0.000 0.835 0.165
0.537 0.190 0.190
0.463 0.810 0.810


5.
AcPr2Sm6 (PBE-GGA, optimized geometry); density = 7.3 g/cm³; spin magnetization = 0.00 μB per cell; calculated formation energy = 0.1128 eV per atom; total energy = -4.5519 eV per atom; N(E_F) = 26.36 states/eV per cell
1.0
7.209 0.000 0.000
0.000 7.643 -5.017
0.000 -5.373 15.243
Ac Pr Sm
2 4 12
Direct
0.500 0.500 0.000
0.000 0.000 0.500
0.500 0.196 0.221
0.000 0.304 0.279
0.000 0.696 0.721
0.500 0.804 0.779
0.000 0.247 0.843
0.271 0.229 0.433
0.229 0.271 0.067
0.729 0.229 0.433
0.771 0.271 0.067
0.500 0.253 0.657
0.000 0.753 0.157
0.729 0.771 0.567
0.771 0.729 0.933
0.271 0.771 0.567
0.229 0.729 0.933
0.500 0.747 0.343


6.
Ac3PrSm3 (PBE-GGA, optimized geometry); density = 7.8 g/cm³; spin magnetization = 0.00 μB per cell; calculated formation energy = 0.0412 eV per atom; total energy = -4.4248 eV per atom; N(E_F) = 24.49 states/eV per cell
1.0
-1.237 -9.951 0.630
6.463 -6.167 -4.599
5.273 -5.487 3.793
Ac Pr Sm
6 2 6
Direct
0.324 0.886 0.748
0.886 0.042 0.748
0.042 0.324 0.748
0.958 0.676 0.252
0.114 0.958 0.252
0.676 0.114 0.252
0.744 0.744 0.768
0.256 0.256 0.232
0.399 0.533 0.251
0.817 0.399 0.251
0.533 0.817 0.251
0.467 0.183 0.749
0.183 0.601 0.749
0.601 0.467 0.749


7.
AcPr6Sm5 (PBE-GGA, optimized geometry); density = 7.0 g/cm³; spin magnetization = 0.00 μB per cell; calculated formation energy = 0.0204 eV per atom; total energy = -4.6780 eV per atom; N(E_F) = 18.63 states/eV per cell
1.0
-12.106 0.439 -1.932
-2.131 -1.114 5.951
-1.032 4.904 4.010
Ac Pr Sm
1 6 5
Direct
0.000 0.000 0.000
0.747 0.084 0.336
0.253 0.580 0.336
0.254 0.252 0.000
0.746 0.748 0.000
0.747 0.420 0.664
0.253 0.916 0.664
0.500 0.167 0.666
0.000 0.334 0.333
0.500 0.500 0.000
0.000 0.666 0.667
0.500 0.833 0.334


8.
Ac2Pr4Sm (PBE-GGA, optimized geometry); density = 7.2 g/cm³; spin magnetization = 0.00 μB per cell; calculated formation energy = 0.0270 eV per atom; total energy = -4.5522 eV per atom; N(E_F) = 24.79 states/eV per cell
1.0
7.883 1.157 -2.708
-3.230 6.751 -1.198
-0.587 1.364 9.141
Ac Pr Sm
4 8 2
Direct
0.661 0.875 0.250
0.378 0.302 0.819
0.943 0.448 0.681
0.661 0.375 0.250
0.098 0.736 0.396
0.224 0.014 0.104
0.094 0.232 0.391
0.515 0.084 0.536
0.944 0.946 0.677
0.227 0.518 0.109
0.806 0.666 0.964
0.378 0.804 0.823
0.513 0.593 0.535
0.808 0.157 0.965


9.
Ac3PrSm2 (PBE-GGA, optimized geometry); density = 7.8 g/cm³; spin magnetization = 0.00 μB per cell; calculated formation energy = 0.1013 eV per atom; total energy = -4.3226 eV per atom; N(E_F) = 16.51 states/eV per cell
1.0
-1.321 -4.945 -5.059
5.477 -5.321 5.562
-5.255 -3.380 3.571
Ac Pr Sm
6 2 4
Direct
0.555 0.250 0.555
0.445 0.750 0.445
0.132 0.977 0.705
0.705 0.523 0.132
0.295 0.477 0.868
0.868 0.023 0.295
0.122 0.750 0.122
0.878 0.250 0.878
0.881 0.619 0.616
0.384 0.119 0.119
0.616 0.881 0.881
0.119 0.381 0.384


10.
Ac8Pr4Sm (PBE-GGA, optimized geometry); density = 7.8 g/cm³; spin magnetization = 0.00 μB per cell; calculated formation energy = 0.0298 eV per atom; total energy = -4.3321 eV per atom; N(E_F) = 23.34 states/eV per cell
1.0
0.609 4.340 3.364
12.446 -6.569 10.758
6.024 2.931 -0.335
Ac Pr Sm
8 4 1
Direct
0.053 0.365 0.530
0.435 0.207 0.923
0.587 0.752 0.074
0.970 0.594 0.467
0.745 0.289 0.222
0.203 0.905 0.690
0.278 0.670 0.775
0.820 0.054 0.307
0.359 0.442 0.839
0.897 0.827 0.379
0.125 0.131 0.618
0.663 0.517 0.158
0.511 0.979 0.998


What did the sixth record say?
Ac3PrSm3 (PBE-GGA, optimized geometry); density = 7.8 g/cm³; spin magnetization = 0.00 μB per cell; calculated formation energy = 0.0412 eV per atom; total energy = -4.4248 eV per atom; N(E_F) = 24.49 states/eV per cell
1.0
-1.237 -9.951 0.630
6.463 -6.167 -4.599
5.273 -5.487 3.793
Ac Pr Sm
6 2 6
Direct
0.324 0.886 0.748
0.886 0.042 0.748
0.042 0.324 0.748
0.958 0.676 0.252
0.114 0.958 0.252
0.676 0.114 0.252
0.744 0.744 0.768
0.256 0.256 0.232
0.399 0.533 0.251
0.817 0.399 0.251
0.533 0.817 0.251
0.467 0.183 0.749
0.183 0.601 0.749
0.601 0.467 0.749